(1)
Compound: Na2LiCrH
Source: Alexandria via LeMat-Bulk
Functional: PBE-GGA
Structure: relaxed

## Properties
E_tot = -14.94 eV per cell
mass density = 1.5 g/cm³
space-group type = P4/mmm, No. 123
spin magnetization = 5.0 μB per formula unit

a b c (Å): 5.9693 5.9693 3.2099
angles (deg): 90.00 90.00 90.00
Closest atoms and distances in Å follow each position.
Sites, in units of the cell vectors:
Na: 0.0000 0.5000 0.0000  2 Li 2.98, 2 Na 3.21
Na: 0.5000 0.0000 0.0000  2 Li 2.98, 2 Na 3.21
Li: 0.0000 0.0000 0.0000  2 H 1.60
Cr: 0.5000 0.5000 0.5000  2 Cr 3.21, 8 Na 3.39
H: 0.0000 0.0000 0.5000  2 Li 1.60

---

(2)
Compound: OsBr2Cl
Source: Alexandria via LeMat-Bulk
Functional: PBE-GGA
Structure: relaxed

## Properties
E_tot = -46.26 eV per cell
formation energy (no corrections) = 1214 meV per atom
mass density = 8.5 g/cm³
space-group type = Fm-3m, No. 225
spin magnetization = 0.0 μB per formula unit

a b c (Å): 6.6974 6.6974 6.6974
angles (deg): 90.00 90.00 90.00
Closest atoms and distances in Å follow each position.
Sites, in units of the cell vectors:
Os: 0.0000 0.0000 0.0000  8 Br 2.90
Os: 0.0000 0.5000 0.5000  8 Br 2.90
Os: 0.5000 0.0000 0.5000  8 Br 2.90
Os: 0.5000 0.5000 0.0000  8 Br 2.90
Br: 0.2500 0.2500 0.2500  4 Cl 2.90, 4 Os 2.90
Br: 0.2500 0.2500 0.7500  4 Os 2.90, 4 Cl 2.90
Br: 0.2500 0.7500 0.2500  4 Os 2.90, 4 Cl 2.90
Br: 0.2500 0.7500 0.7500  4 Cl 2.90, 4 Os 2.90
Br: 0.7500 0.2500 0.2500  4 Os 2.90, 4 Cl 2.90
Br: 0.7500 0.2500 0.7500  4 Cl 2.90, 4 Os 2.90
Br: 0.7500 0.7500 0.2500  4 Cl 2.90, 4 Os 2.90
Br: 0.7500 0.7500 0.7500  4 Os 2.90, 4 Cl 2.90
Cl: 0.0000 0.0000 0.5000  8 Br 2.90
Cl: 0.0000 0.5000 0.0000  8 Br 2.90
Cl: 0.5000 0.0000 0.0000  8 Br 2.90
Cl: 0.5000 0.5000 0.5000  8 Br 2.90